{"formula": "SbIrNF2", "functional": "PBE-GGA", "state": "relaxed", "rho_g_cm3": 7.76, "spacegroup": "No. 123", "e_above_lowest_polymorph_kj_per_mol_atoms": 55.9, "raw_formation_energy_mev_per_atom": 503, "crystal_system": "tetragonal", "energy_ev_per_cell": -22.5, "cell": [[4.2604, 0.0000, 0.0000], [0.0000, 4.2604, 0.0000], [0.0000, 0.0000, 4.3127]], "species": ["F", "Ir", "Sb", "N", "F"], "fractional_positions": [[0.0000, 0.5000, 0.0000], [0.5000, 0.5000, 0.5000], [0.0000, 0.0000, 0.0000], [0.0000, 0.0000, 0.5000], [0.5000, 0.0000, 0.0000]]}